A plane-wave DFT calculation with PBE was carried out for crystalline Tb3NdY2Bi6 at its relaxed geometry.

Cell: 19.6518 4.5104 9.0194 Å, 90.00 103.22 90.00°
Space group C2/m (No. 12)
Unique sites:
Tb  0.0000  0.0000  0.0000
Tb  0.1657  0.5000  0.3322
Nd  0.0000  0.0000  0.5000
Y  0.1672  0.5000  0.8334
Bi  0.0007  0.5000  0.7556
Bi  0.1667  0.0000  0.0826
Bi  0.1689  0.0000  0.5844

Calculated values
- Calculated total energy: -5.468 eV per atom
- Energy relative to the elements: -0.90 eV/atom
- Theoretical density: 8.76 Mg/m³